(1)
Here is crystalline TbPu5 at its relaxed geometry from Alexandria. Energies are from PBE.

The structure in CIF format:
```
data_TbPu5
_cell_length_a 5.4502
_cell_length_b 5.6470
_cell_length_c 5.7248
_cell_angle_alpha 119.55
_cell_angle_beta 90.00
_cell_angle_gamma 90.00
_symmetry_space_group_name_H-M 'P 1'
_symmetry_Int_Tables_number 1
_symmetry_space_group_name_Hall 'P 1'
loop_
_atom_site_label
_atom_site_fract_x
_atom_site_fract_y
_atom_site_fract_z
Tb1 0.0000 0.0000 0.0000
Pu1 0.0000 0.6599 0.3199
Pu2 0.0000 0.3401 0.6801
Pu3 0.5000 0.5000 0.0000
Pu4 0.5000 0.1821 0.3641
Pu5 0.5000 0.8179 0.6359
```

Values from the calculation:
Space-group type: Cmmm (65)
N(E_F) in states/eV/atom: 4.83
Spin magnetization in μB/f.u.: 17.14
Formation energy from the elements in eV per atom: 0.32
Final energy in eV/atom: -12.40


(2)
Here is crystalline La4Pm7In at its relaxed geometry from Alexandria. Energies are from PBE.

The structure in CIF format:
```
data_La4Pm7In
_cell_length_a 6.0965
_cell_length_b 8.7809
_cell_length_c 9.8739
_cell_angle_alpha 61.09
_cell_angle_beta 72.02
_cell_angle_gamma 69.69
_symmetry_space_group_name_H-M 'P 1'
_symmetry_Int_Tables_number 1
_symmetry_space_group_name_Hall 'P 1'
loop_
_atom_site_label
_atom_site_fract_x
_atom_site_fract_y
_atom_site_fract_z
La1 0.5953 0.2955 0.5139
La2 0.4047 0.7045 0.4861
La3 0.7274 0.8177 0.7274
La4 0.2726 0.1823 0.2726
Pm1 0.8413 0.9788 0.3386
Pm2 0.1587 0.0212 0.6614
Pm3 0.0652 0.5948 0.2749
Pm4 0.9348 0.4052 0.7251
Pm5 0.2790 0.5442 0.8978
Pm6 0.5000 0.0000 0.0000
Pm7 0.7210 0.4558 0.1022
In1 0.0000 0.0000 0.0000
```

Values from the calculation:
Space-group type: C2/m (12)
N(E_F) in states/eV/atom: 1.48
Spin magnetization in μB/f.u.: 0.00
Formation energy from the elements in eV per atom: 0.11
Final energy in eV/atom: -4.53